5
Lattice="4.807 0.000 0.000 0.000 3.781 0.000 0.000 0.000 4.807" Properties=species:S:1:pos:R:3 comment="AgGePt2C, relaxed, DFT GGA-PBE" density_g_cm3=11.07 magnetic_moment_mub_per_atom=0.000 delta_e_f_ev_per_atom=1.1424 dos_at_fermi_per_ev_cell=2.2 pbc="T T T"
Pt 0.000 0.000 2.403
Pt 2.403 0.000 0.000
C 0.000 1.891 0.000
Ge 0.000 0.000 0.000
Ag 2.403 1.891 2.403

5
Lattice="4.120 0.000 0.000 0.000 4.817 0.000 0.000 0.000 4.120" Properties=species:S:1:pos:R:3 comment="TaAg2GeC, relaxed, DFT GGA-PBE" density_g_cm3=9.77 magnetic_moment_mub_per_atom=0.085 delta_e_f_ev_per_atom=1.2140 dos_at_fermi_per_ev_cell=3.6 pbc="T T T"
Ag 2.060 0.000 0.000
Ag 0.000 0.000 2.060
Ta 2.060 2.409 2.060
Ge 0.000 2.409 0.000
C 0.000 0.000 0.000

5
Lattice="4.054 0.000 0.000 0.000 5.249 0.000 0.000 0.000 4.054" Properties=species:S:1:pos:R:3 comment="ZnAgGeC2, relaxed, DFT GGA-PBE" density_g_cm3=5.20 magnetic_moment_mub_per_atom=0.173 delta_e_f_ev_per_atom=2.3045 dos_at_fermi_per_ev_cell=3.0 pbc="T T T"
C 2.027 0.000 0.000
C 0.000 0.000 2.027
Zn 0.000 2.624 0.000
Ag 0.000 0.000 0.000
Ge 2.027 2.624 2.027

28
Lattice="4.091 0.000 0.000 0.000 5.519 0.000 0.000 0.000 15.535" Properties=species:S:1:pos:R:3 comment="AgH3CN2, relaxed, DFT GGA-PBE" total_energy_ev_per_cell=-156.1 density_g_cm3=2.86 magnetic_moment_mub_per_atom=0.000 dos_at_fermi_per_ev_cell=0.0 pbc="T T T"
H 2.095 2.202 5.095
H 2.095 0.557 5.095
H 2.095 3.316 2.673
H 0.621 1.380 12.466
H 1.996 0.557 12.862
H 1.996 4.962 10.440
H 3.470 4.139 3.068
H 3.470 1.380 4.699
H 1.996 2.202 12.862
H 2.095 4.962 2.673
H 0.621 4.139 10.836
H 1.996 3.316 10.440
Ag 0.971 4.139 8.106
Ag 0.971 1.380 15.196
Ag 3.120 4.139 0.339
Ag 3.120 1.380 7.428
N 2.658 1.380 5.332
N 2.658 4.139 2.436
N 0.540 4.139 4.929
N 3.551 4.139 12.696
N 3.551 1.380 10.606
N 1.433 4.139 10.203
N 0.540 1.380 2.839
N 1.433 1.380 13.099
C 3.426 1.380 9.437
C 0.665 4.139 6.098
C 0.665 1.380 1.670
C 3.426 4.139 13.865

92
Lattice="-3.510 -10.632 0.789 8.322 -2.315 -7.166 6.455 -4.770 4.614" Properties=species:S:1:pos:R:3 comment="TbAgH10C20N6O8, relaxed, DFT GGA-PBE" total_energy_ev_per_cell=-668.1 density_g_cm3=2.33 magnetic_moment_mub_per_atom=0.000 dos_at_fermi_per_ev_cell=0.0 pbc="T T T"
C 4.864 -14.151 2.177
C 8.652 -10.366 -2.879
C 9.236 -7.350 1.142
C 8.616 -15.205 0.322
C 5.360 -6.235 3.484
C 7.161 -9.270 -4.961
C 7.926 -6.706 -0.930
C 8.714 -11.797 -0.849
C 7.739 -11.168 -3.566
C 3.528 -6.549 1.803
C 8.129 -8.491 -4.307
C 3.535 -2.864 0.234
C 3.138 -9.226 2.545
C 7.523 -14.887 -0.491
C 4.289 -7.101 2.839
C 3.744 -2.830 -1.272
C 8.877 -9.046 -3.261
C 5.907 -11.482 -5.247
C 7.732 -14.853 -1.997
C 2.904 -10.679 2.890
C 10.460 -7.652 0.550
C 6.801 -7.588 0.707
C 6.403 -3.566 -3.939
C 10.513 -10.624 -1.178
C 2.554 -5.920 -0.914
C 5.108 -3.188 -3.257
C 3.342 -11.011 -0.833
C 2.390 -8.671 1.498
C 4.970 -3.186 -1.859
C 8.363 -7.038 -4.653
C 6.978 -10.616 -4.601
C 6.160 -14.529 1.494
C 0.808 -10.065 -2.312
C 2.031 -10.367 -2.905
C 4.107 -8.447 3.199
C 4.466 -10.129 -2.470
C 0.754 -7.093 -0.585
C 6.297 -14.531 0.096
C 2.615 -7.351 1.117
C 2.652 -2.512 -2.084
Ag 5.621 -11.194 1.366
Ag 5.646 -6.523 -3.128
H 1.712 -2.234 -1.605
H 3.555 -5.529 -0.775
H 9.611 -8.418 -2.756
H 7.582 -12.216 -3.308
H 4.680 -9.665 -3.425
H 6.553 -8.834 -5.757
H 5.818 -3.453 -1.225
H 10.585 -7.677 -0.532
H 11.258 -9.960 -1.602
H 0.010 -7.757 -0.160
H 8.720 -6.289 -1.540
H 6.587 -8.052 1.663
H 4.714 -8.883 3.994
H 1.657 -9.299 0.994
H 5.450 -14.264 -0.538
H 2.548 -11.428 -0.223
H 9.555 -15.483 -0.158
H 7.713 -12.188 -0.987
H 3.685 -5.501 1.546
H 0.682 -10.040 -1.230
O 4.759 -14.334 3.433
O 6.131 -6.797 4.319
O 5.444 -5.030 3.097
O 2.395 -2.519 0.670
O 6.770 -14.425 -2.703
O 7.356 -4.083 -3.256
O 8.873 -15.198 -2.433
O 7.544 -6.427 -5.426
O 1.900 -11.276 2.380
O 4.497 -3.292 0.940
O 5.823 -12.687 -4.860
O 3.723 -11.290 3.664
O 3.912 -13.634 1.494
O 9.367 -6.441 -4.142
O 6.509 -3.383 -5.196
O 5.137 -10.920 -6.082
Tb 8.840 -4.278 -5.276
Tb 2.427 -13.439 3.513
N 9.516 -12.065 0.155
N 3.204 -10.527 -2.102
N 0.616 -6.400 -1.704
N 9.291 -10.903 -1.717
N 10.652 -11.317 -0.059
N 1.977 -6.814 -0.045
N 5.331 -10.353 -1.508
N 6.656 -6.808 -1.288
N 5.937 -7.364 -0.254
N 1.752 -5.652 -1.917
N 4.611 -10.909 -0.474
N 8.064 -7.190 0.339

46
Lattice="9.473 5.545 0.096 -9.473 5.545 0.096 0.000 4.054 6.249" Properties=species:S:1:pos:R:3 comment="AgH12C4S5N, relaxed, DFT GGA-PBE" total_energy_ev_per_cell=-224.1 density_g_cm3=1.75 magnetic_moment_mub_per_atom=0.000 dos_at_fermi_per_ev_cell=0.0 pbc="T T T"
S 1.107 14.155 6.017
S 2.211 10.169 4.855
S -6.494 4.350 0.530
S -2.895 10.378 5.141
S 6.494 6.376 3.655
S 1.495 8.813 3.473
S -1.495 6.786 0.348
S 2.895 8.351 2.016
S -1.107 12.128 2.893
S -2.211 8.142 1.730
H 0.862 3.282 2.117
H -2.942 7.322 4.355
H -1.159 4.174 3.889
H 1.157 3.929 0.455
H 2.942 5.296 1.231
H -2.682 6.732 6.038
H -5.145 7.747 2.712
H 6.773 5.861 0.362
H 2.682 4.705 2.913
H -6.773 7.888 3.487
H -3.343 5.734 2.572
H 4.774 10.522 3.607
H -6.502 6.701 2.163
H 1.159 2.147 0.764
H 3.343 7.761 5.696
H -4.311 6.607 5.292
H 5.145 9.773 5.837
H 4.311 4.580 2.168
H -0.862 5.309 5.242
H 3.340 5.989 6.054
H 6.502 8.728 5.288
H -4.774 8.495 0.483
H -3.340 3.962 2.929
H -1.157 5.956 3.579
C 3.623 2.929 0.170
C 3.231 4.546 1.978
C -6.229 7.688 2.556
C 1.399 3.136 1.173
C -3.231 6.573 5.103
C -1.399 5.162 4.298
C 6.229 9.715 5.680
C -3.623 4.956 3.294
N 2.874 3.188 1.447
N -2.874 5.214 4.572
Ag 0.427 11.963 4.958
Ag -0.427 9.936 1.833

46
Lattice="11.309 -0.029 0.049 -5.197 10.045 0.049 2.305 3.777 6.377" Properties=species:S:1:pos:R:3 comment="AgH12C4Se5N, relaxed, DFT GGA-PBE" total_energy_ev_per_cell=-217.8 density_g_cm3=2.66 magnetic_moment_mub_per_atom=0.000 pbc="T T T"
Se 6.740 6.723 4.344
Se 3.548 3.718 3.564
Se 1.745 7.180 1.156
Se 3.250 8.099 2.744
Se 6.340 4.372 1.110
Se 0.532 2.967 0.376
Se 2.142 9.526 4.299
Se 1.089 8.085 5.874
Se 5.540 2.777 2.685
Se 6.870 8.481 5.933
H 8.105 7.172 1.709
H -0.496 9.347 0.461
H 2.121 10.021 0.406
H 6.060 12.405 5.697
H 8.933 5.191 5.870
H 3.973 0.837 1.002
H -0.749 11.668 6.377
H -0.620 8.430 2.681
H 9.567 2.780 3.189
H 3.825 12.375 4.898
H -1.367 9.954 3.266
H 7.110 9.172 2.508
H 0.081 5.805 4.191
H 9.692 5.721 3.649
H -0.345 4.748 2.797
H 8.316 3.771 4.021
H 11.872 2.804 4.005
H 8.325 1.447 0.077
H 12.297 3.820 5.420
H 9.095 8.357 3.595
H 5.533 3.752 5.986
H -1.601 7.232 0.832
H -3.377 10.795 2.231
H -4.087 9.952 0.817
N 10.298 4.020 4.743
N -2.286 9.109 1.554
C -3.589 9.816 1.784
C -2.556 7.753 0.967
C 11.524 3.184 4.972
C -1.567 8.954 2.865
C -1.432 9.901 0.607
C 10.613 5.142 3.796
C 9.832 4.588 6.053
C 9.216 3.160 4.156
Ag 4.166 6.117 4.506
Ag 2.383 4.614 1.318

11
Lattice="-0.353 1.711 -4.207 -4.765 -2.165 1.985 1.418 5.475 2.108" Properties=species:S:1:pos:R:3 comment="Ag2HC2O6, relaxed, DFT GGA-PBE" total_energy_ev_per_cell=-63.5 density_g_cm3=4.50 magnetic_moment_mub_per_atom=0.000 dos_at_fermi_per_ev_cell=4.2 pbc="T T T"
O -2.875 3.834 -0.666
O 0.044 5.177 -1.636
O -3.743 -0.156 1.521
O -3.925 0.726 -0.647
O -0.825 1.187 0.552
O 0.225 4.295 0.533
H 0.533 3.593 -1.049
C 0.988 4.019 1.552
C -4.687 1.001 -1.666
Ag -1.874 1.473 -1.710
Ag -1.825 3.547 1.596

88
Lattice="7.807 0.000 0.000 0.000 9.962 0.151 0.000 9.847 14.198" Properties=species:S:1:pos:R:3 comment="AgH11C4S3O3, relaxed, DFT GGA-PBE" total_energy_ev_per_cell=-447.7 density_g_cm3=1.89 magnetic_moment_mub_per_atom=0.000 dos_at_fermi_per_ev_cell=0.0 pbc="T T T"
H 4.260 2.861 2.139
H 7.026 6.910 3.770
H 1.257 12.690 6.503
H 5.559 7.879 3.432
H 6.519 13.359 6.940
H 2.546 15.122 7.752
H 2.248 11.929 10.916
H 1.409 3.504 4.721
H 6.151 12.802 10.531
H 1.833 7.826 2.235
H 0.357 12.024 5.110
H 7.712 8.316 11.914
H 5.974 11.983 12.114
H 2.139 5.791 5.977
H 1.288 6.449 7.409
H 6.449 9.610 13.695
H 2.646 17.613 13.602
H 5.261 4.687 6.596
H 3.547 16.947 12.209
H 5.191 18.283 14.039
H 1.031 3.085 2.233
H 0.781 12.898 10.578
H 5.667 14.017 8.372
H 6.043 9.094 1.273
H 6.776 16.723 12.115
H 2.616 1.526 0.310
H 2.071 12.749 9.334
H 1.764 10.715 13.076
H 4.934 11.800 5.016
H 1.656 7.006 3.817
H 3.123 7.975 3.479
H 2.495 8.427 11.820
H 6.398 16.305 9.627
H 7.450 7.784 9.238
H 5.312 11.382 2.528
H 6.550 7.118 7.845
H 2.872 8.008 9.332
H 3.808 16.416 9.534
H 5.160 2.195 0.746
H 3.998 3.392 4.815
H 0.095 11.493 2.435
H 5.736 7.059 5.015
H 4.684 11.834 10.869
H 1.358 10.198 0.653
C 5.569 13.759 7.311
C 0.172 2.532 1.832
C 2.621 17.447 12.520
C 7.635 17.277 12.517
C 6.141 8.835 0.212
C 2.366 7.313 3.043
C 5.185 2.361 1.828
C 1.537 12.236 10.142
C 5.441 12.495 11.306
C 1.666 10.973 14.137
C 6.269 7.572 4.207
C 3.731 7.455 8.931
C 4.075 12.353 5.418
C 6.525 7.285 8.927
C 1.282 12.524 5.421
C 2.237 6.050 7.038
S 0.724 10.787 9.485
S 2.620 11.394 4.961
S 3.180 5.863 2.386
S 5.187 8.414 9.388
S 6.523 3.491 2.289
S 1.283 16.317 12.060
S 7.454 7.589 0.124
S 3.550 7.296 7.126
S 4.256 12.512 7.223
S 4.627 13.945 11.963
S 0.353 12.219 14.225
S 7.083 9.022 4.864
Ag 2.448 9.476 6.522
Ag 6.351 5.409 0.727
Ag 1.456 14.399 13.621
Ag 5.359 10.332 7.826
O 7.717 9.697 3.722
O 6.011 9.843 5.478
O 4.143 6.383 1.389
O 3.814 5.188 3.527
O 2.108 5.042 1.771
O 0.240 8.502 5.861
O 7.567 11.307 8.488
O 5.699 14.767 12.577
O 3.664 13.425 12.960
O 1.795 9.965 8.870
O 3.993 14.621 10.821
O 0.089 10.111 10.626

5
Lattice="-0.108 -0.854 -4.401 -3.715 -2.448 0.566 -2.510 3.659 -0.649" Properties=species:S:1:pos:R:3 comment="Hf3AgC, relaxed, DFT GGA-PBE" density_g_cm3=12.07 magnetic_moment_mub_per_atom=0.000 delta_e_f_ev_per_atom=-0.3563 dos_at_fermi_per_ev_cell=2.1 pbc="T T T"
Ag -3.166 0.179 -2.242
Hf -0.054 -0.427 -2.201
Hf -1.857 -1.224 0.283
Hf -1.255 1.830 -0.324
C 0.000 0.000 0.000

6
Lattice="-1.996 1.163 -2.997 -3.690 0.755 0.362 -0.066 8.671 1.021" Properties=species:S:1:pos:R:3 comment="HfAgC, relaxed, DFT GGA-PBE" density_g_cm3=9.45 magnetic_moment_mub_per_atom=0.000 delta_e_f_ev_per_atom=-0.1293 dos_at_fermi_per_ev_cell=1.0 pbc="T T T"
Hf -2.208 8.226 -0.114
Hf -3.543 2.364 -1.500
Ag -4.579 6.777 -1.487
Ag -1.172 3.813 -0.128
C -4.082 8.959 -0.970
C -1.670 1.630 -0.644

10
Lattice="-1.701 -2.624 1.121 6.555 -3.367 2.067 1.765 1.929 7.193" Properties=species:S:1:pos:R:3 comment="Hf3AgC, relaxed, DFT GGA-PBE" density_g_cm3=11.89 magnetic_moment_mub_per_atom=0.000 delta_e_f_ev_per_atom=-0.3477 dos_at_fermi_per_ev_cell=9.0 pbc="T T T"
C 1.972 -0.167 6.177
C 4.367 -2.815 3.615
Hf 2.803 -4.235 2.840
Hf 2.757 -1.420 4.437
Hf 2.330 -1.919 7.543
Hf 4.230 -4.019 5.510
Hf 5.976 -4.210 2.792
Hf -0.088 -1.039 5.933
Ag 5.249 -1.850 7.211
Ag 0.239 -2.443 3.142

What is the formula in the sixth record? AgH12C4S5N